BaCdN | PBE | relaxed

a b c (Å): 10.095 10.095 10.095
angles (deg): 155.78 155.78 34.52
Atoms (fractional coordinates):
1 Ba 0.185 0.185 0.000
2 Ba 0.815 0.815 0.000
3 Cd 0.430 0.430 0.000
4 Cd 0.570 0.570 0.000
5 N 0.322 0.322 0.000
6 N 0.678 0.678 0.000

Output
Total moment   0.00 μB per formula unit
Volume   28.82 Å³/atom
E_form (uncorrected)   -0.145 eV per atom
Total energy   -3.8663 eV/atom